This record from the Alexandria database describes a relaxed structure of ZnMo2O4. The functional is PBE with a Hubbard U.

Cell: 6.312 6.312 6.312 Å, 61.19 61.19 61.19°
Site moments in Bohr magnetons follow the coordinates.
Positions (direct):
Mo  0.375  0.375  0.877  2.76
Mo  0.765  0.765  0.765  2.80
Mo  0.375  0.877  0.375  2.76
Mo  0.877  0.375  0.375  2.76
O  0.131  0.131  0.601  0.03
O  0.131  0.601  0.131  0.03
O  0.132  0.132  0.132  0.05
O  0.615  0.153  0.615  0.00
O  0.615  0.615  0.153  0.00
O  0.153  0.615  0.615  0.00
O  0.601  0.131  0.131  0.03
O  0.613  0.613  0.613  0.08
Zn  0.370  0.370  0.370  0.03
Zn  0.996  0.996  0.996  0.03

Properties
- Electronic total energy: -6.47 eV per atom
- Total magnetization: 12.0 Bohr magnetons per cell
- V: 13.04 Å³ per atom